An optimized crystal structure of MnSb3Se. Source: Alexandria, functional PBE-GGA.

Cell lengths 4.952, 4.952, 4.952 Å; angles 90.00, 90.00, 90.00 degrees
Atoms (fractional coordinates):
Mn: 0.000 0.000 0.000
Sb: 0.000 0.000 0.500
Sb: 0.000 0.500 0.000
Sb: 0.500 0.000 0.000
Se: 0.500 0.500 0.500

The space group is Pm-3m. The calculation puts the magnetization at 1.0 μB per cell. Its raw formation energy is 0.28 eV/atom. The density comes out at 6.83 g cm⁻³.